(1)
Ca2YGa3Au12: optimized geometry, PBE-GGA.

a = 10.7370 Å, b = 10.7370 Å, c = 10.7370 Å
α = 37.73°, β = 37.73°, γ = 37.73°
Last column: nearest neighbours and their distance in Å.
Atoms (fractional coordinates):
Ca 0.1373 0.1373 0.1373  6 Au 3.10-3.21
Ca 0.8627 0.8627 0.8627  6 Au 3.10-3.21
Y 0.5000 0.5000 0.5000  6 Au 2.88
Ga 0.0000 0.5000 0.5000  4 Au 2.59
Ga 0.5000 0.0000 0.5000  4 Au 2.59
Ga 0.5000 0.5000 0.0000  4 Au 2.59
Au 0.0589 0.6345 0.6345  4 Au 2.87-2.95, 1 Y 2.88, 1 Ca 3.10
Au 0.0902 0.0902 0.6853  2 Ga 2.59, 4 Au 2.81-2.87
Au 0.0902 0.6853 0.0902  2 Ga 2.59, 4 Au 2.81-2.87
Au 0.3147 0.9098 0.9098  2 Ga 2.59, 4 Au 2.81-2.87
Au 0.3655 0.3655 0.9411  4 Au 2.87-2.95, 1 Y 2.88, 1 Ca 3.10
Au 0.3655 0.9411 0.3655  4 Au 2.87-2.95, 1 Y 2.88, 1 Ca 3.10
Au 0.6345 0.0589 0.6345  4 Au 2.87-2.95, 1 Y 2.88, 1 Ca 3.10
Au 0.6345 0.6345 0.0589  4 Au 2.87-2.95, 1 Y 2.88, 1 Ca 3.10
Au 0.6853 0.0902 0.0902  2 Ga 2.59, 4 Au 2.81-2.87
Au 0.9098 0.3147 0.9098  2 Ga 2.59, 4 Au 2.81-2.87
Au 0.9098 0.9098 0.3147  2 Ga 2.59, 4 Au 2.81-2.87
Au 0.9411 0.3655 0.3655  4 Au 2.87-2.95, 1 Y 2.88, 1 Ca 3.10

Calculated values
E ... -3.556 eV per atom
SG ... No. 166
E_form ... -0.285 eV/atom

***

(2)
LiPmErRh: optimized geometry, PBE-GGA.

a = 4.9784 Å, b = 4.9784 Å, c = 4.9784 Å
α = 60.00°, β = 60.00°, γ = 60.00°
Last column: nearest neighbours and their distance in Å.
Atoms (fractional coordinates):
Li 0.0000 0.0000 0.0000  4 Er 3.05, 4 Pm 3.05
Pm 0.7500 0.7500 0.7500  4 Li 3.05, 4 Rh 3.05
Er 0.2500 0.2500 0.2500  4 Li 3.05, 4 Rh 3.05
Rh 0.5000 0.5000 0.5000  4 Er 3.05, 4 Pm 3.05

Calculated values
E ... -5.086 eV per atom
SG ... No. 216
E_form ... -0.441 eV/atom

***

(3)
SmThPdRh: optimized geometry, PBE-GGA.

a = 4.2384 Å, b = 6.0467 Å, c = 6.0467 Å
α = 37.45°, β = 90.00°, γ = 90.00°
Last column: nearest neighbours and their distance in Å.
Atoms (fractional coordinates):
Sm 0.0000 0.0000 0.0000  4 Pd 2.94, 1 Rh 2.96
Th 0.5000 0.2747 0.2747  4 Rh 2.90, 3 Pd 3.18-3.20
Pd 0.5000 0.5544 0.5544  4 Sm 2.94, 2 Rh 3.01, 3 Th 3.18-3.20
Rh 0.0000 0.7413 0.7413  4 Th 2.90, 1 Sm 2.96, 2 Pd 3.01

Calculated values
E ... -7.045 eV per atom
SG ... No. 38
E_form ... -0.874 eV/atom
Offset from the most stable computed form ... 0.0 meV/atom